! CaPmTm2S4 | the Alexandria database | PBE-GGA | relaxed; values from VASP
! - Formation energy from raw total energies: -2003.2 meV per atom
! - Magnetic moment: 0.0 μB per formula unit
! - Energy: -6.029 eV per atom
! - Density of states at the Fermi level: 2.6 states/eV/cell
&SYSTEM
  ibrav = 0, nat = 8, ntyp = 4
/
ATOMIC_SPECIES
Ca 40.08 Ca.upf
Pm 145.00 Pm.upf
Tm 168.93 Tm.upf
S 32.06 S.upf
CELL_PARAMETERS angstrom
6.821 0.000 0.000
0.000 3.908 0.000
-2.231 0.000 6.449
ATOMIC_POSITIONS angstrom
Ca 0.000 0.000 0.000
Pm -1.116 1.954 3.225
Tm 2.295 0.000 3.225
Tm 3.411 1.954 0.000
S 1.232 1.954 1.618
S 0.110 0.000 4.895
S 4.480 0.000 1.555
S 3.358 1.954 4.831